LiTeRu2 after structural relaxation. Source: Alexandria, functional PBE.

Summary:
Formation energy (no corrections) (meV per atom): 344
Space-group type: C2/m (12)

Unit cell a=5.211 b=5.211 c=2.934 alpha=105.33 beta=105.33 gamma=114.23
Fractional positions:
Li: 0.000 0.000 0.000
Te: 0.500 0.500 0.000
Ru: 0.000 0.500 0.500
Ru: 0.500 0.000 0.500

NpU2Se5 after structural relaxation. Source: Alexandria, functional PBE.

Summary:
Formation energy (no corrections) (meV per atom): -1158
Space-group type: Pnma (62)

Unit cell a=12.201 b=8.173 c=7.718 alpha=90.00 beta=90.00 gamma=90.00
Fractional positions:
Np: 0.007 0.250 0.082
Np: 0.493 0.750 0.582
Np: 0.507 0.250 0.418
Np: 0.993 0.750 0.918
U: 0.182 0.001 0.513
U: 0.182 0.499 0.513
U: 0.318 0.501 0.013
U: 0.318 0.999 0.013
U: 0.682 0.001 0.987
U: 0.682 0.499 0.987
U: 0.818 0.501 0.487
U: 0.818 0.999 0.487
Se: 0.001 0.250 0.467
Se: 0.101 0.550 0.166
Se: 0.101 0.950 0.166
Se: 0.183 0.250 0.824
Se: 0.217 0.750 0.791
Se: 0.283 0.250 0.291
Se: 0.317 0.750 0.324
Se: 0.399 0.050 0.666
Se: 0.399 0.450 0.666
Se: 0.499 0.750 0.967
Se: 0.501 0.250 0.033
Se: 0.601 0.550 0.334
Se: 0.601 0.950 0.334
Se: 0.683 0.250 0.676
Se: 0.717 0.750 0.709
Se: 0.783 0.250 0.209
Se: 0.817 0.750 0.176
Se: 0.899 0.050 0.834
Se: 0.899 0.450 0.834
Se: 0.999 0.750 0.533

W2SeBr after structural relaxation. Source: Alexandria, functional PBE.

Summary:
Formation energy (no corrections) (meV per atom): 1105
Space-group type: Cmmm (65)

Unit cell a=3.173 b=3.173 c=8.847 alpha=90.00 beta=90.00 gamma=124.78
Fractional positions:
W: 0.000 0.000 0.234
W: 0.000 0.000 0.766
Se: 0.500 0.500 0.000
Br: 0.500 0.500 0.500

La3P2O2 after structural relaxation. Source: Alexandria, functional PBE.

Summary:
Formation energy (no corrections) (meV per atom): -2200
Space-group type: C2/m (12)

Unit cell a=6.731 b=6.731 c=6.862 alpha=109.32 beta=109.32 gamma=35.76
Fractional positions:
La: 0.000 0.000 0.000
La: 0.309 0.309 0.243
La: 0.691 0.691 0.757
P: 0.383 0.383 0.706
P: 0.617 0.617 0.294
O: 0.161 0.161 0.896
O: 0.839 0.839 0.104

BaSrLiNi after structural relaxation. Source: Alexandria, functional PBE.

Summary:
E_form (eV per atom): 0.163
Space-group type: F-43m (216)

Unit cell a=5.546 b=5.546 c=5.546 alpha=60.00 beta=60.00 gamma=60.00
Fractional positions:
Ba: 0.000 0.000 0.000
Sr: 0.500 0.500 0.500
Li: 0.750 0.750 0.750
Ni: 0.250 0.250 0.250

KFeSeS after structural relaxation. Source: Alexandria, functional PBE.

Summary:
Formation energy (no corrections) (meV per atom): -701
Space-group type: C2 (5)

Unit cell a=6.772 b=6.772 c=5.496 alpha=101.66 beta=101.66 gamma=116.40
Fractional positions:
K: 0.000 0.000 0.000
K: 0.719 0.281 0.500
Fe: 0.352 0.648 0.500
Fe: 0.356 0.644 0.000
Se: 0.269 0.329 0.648
Se: 0.671 0.731 0.352
S: 0.066 0.567 0.157
S: 0.433 0.934 0.843